Entry 1:
Density functional theory data (GGA-PBEsol) for a relaxed CaPHO4 crystal.

Structure (CIF):
```
data_CaPHO4
_chemical_formula_sum 'Ca4 P4 H4 O16'
_cell_length_a 6.6242
_cell_length_b 6.8719
_cell_length_c 6.9907
_cell_angle_alpha 75.63
_cell_angle_beta 83.34
_cell_angle_gamma 88.21
_symmetry_space_group_name_H-M 'P 1'
_symmetry_Int_Tables_number 1
_symmetry_space_group_name_Hall 'P 1'
loop_
_atom_site_label
_atom_site_type_symbol
_atom_site_fract_x
_atom_site_fract_y
_atom_site_fract_z
Ca1 Ca 0.0000 0.0000 0.0000
Ca2 Ca 0.1194 0.4054 0.5414
Ca3 Ca 0.3916 0.8910 0.6053
Ca4 Ca 0.7222 0.5467 0.9399
P1 P 0.1808 0.4978 0.9866
P2 P 0.5040 0.0030 0.0547
P3 P 0.6044 0.4020 0.4749
P4 P 0.9355 0.9121 0.5474
H1 H 0.3058 0.2387 0.2190
H2 H 0.5682 0.7076 0.2796
H3 H 0.6940 0.2555 0.7922
H4 H 0.8208 0.1785 0.3154
O1 O 0.0353 0.6694 0.0115
O2 O 0.0471 0.0541 0.6415
O3 O 0.0635 0.3557 0.8967
O4 O 0.0810 0.7416 0.5198
O5 O 0.2246 0.3794 0.2052
O6 O 0.3489 0.9866 0.9164
O7 O 0.3827 0.5676 0.8623
O8 O 0.4024 0.0488 0.2478
O9 O 0.4364 0.2483 0.5538
O10 O 0.5035 0.6161 0.4302
O11 O 0.6373 0.8098 0.1059
O12 O 0.6683 0.1718 0.9559
O13 O 0.7325 0.3758 0.2845
O14 O 0.7332 0.8409 0.6701
O15 O 0.7523 0.3898 0.6368
O16 O 0.8934 0.0352 0.3291
```

Computed properties:
Energy above the most stable polymorph in this dataset in meV/atom: 0

Entry 2:
Density functional theory data (GGA-PBEsol) for a relaxed CaSnP6H12O12 crystal.

Structure (CIF):
```
data_CaSnP6H12O12
_chemical_formula_sum 'Ca3 Sn3 P18 H36 O36'
_cell_length_a 11.6841
_cell_length_b 11.6841
_cell_length_c 9.8701
_cell_angle_alpha 90.00
_cell_angle_beta 90.00
_cell_angle_gamma 120.00
_symmetry_space_group_name_H-M 'R -3'
_symmetry_Int_Tables_number 148
_symmetry_space_group_name_Hall '-R 3'
loop_
_atom_site_label
_atom_site_type_symbol
_atom_site_fract_x
_atom_site_fract_y
_atom_site_fract_z
Ca1 Ca 0.0000 0.0000 0.0000
Sn1 Sn 0.0000 0.0000 0.5000
P1 P 0.0316 0.8123 0.7190
H1 H 0.0066 0.3619 0.9491
H2 H 0.0412 0.5086 0.3249
O1 O 0.0390 0.8619 0.8611
O2 O 0.0579 0.1655 0.3828
```

Computed properties:
Total DFT energy (no corrections) in eV per cell: -547.91

Entry 3:
Density functional theory data (GGA-PBEsol) for a relaxed CaH4SO6 crystal.

Structure (CIF):
```
data_CaH4SO6
_chemical_formula_sum 'Ca4 H16 S4 O24'
_cell_length_a 6.2711
_cell_length_b 14.8724
_cell_length_c 5.6344
_cell_angle_alpha 90.00
_cell_angle_beta 114.95
_cell_angle_gamma 90.00
_symmetry_space_group_name_H-M 'C 1 2/c 1'
_symmetry_Int_Tables_number 15
_symmetry_space_group_name_Hall '-C 2yc'
loop_
_atom_site_label
_atom_site_type_symbol
_atom_site_fract_x
_atom_site_fract_y
_atom_site_fract_z
Ca1 Ca 0.0000 0.1674 0.2500
H1 H 0.2440 0.4125 0.2345
H2 H 0.2498 0.0018 0.5922
S1 S 0.0000 0.3291 0.7500
O1 O 0.0866 0.2729 0.5922
O2 O 0.2030 0.3860 0.9211
O3 O 0.2139 0.0669 0.5829
```

Computed properties:
Total DFT energy (no corrections) in eV per cell: -284.02

Entry 4:
Density functional theory data (GGA-PBEsol) for a relaxed CaH2S2O8 crystal.

Structure (CIF):
```
data_CaH2S2O8
_chemical_formula_sum 'Ca8 H16 S16 O64'
_cell_length_a 6.9342
_cell_length_b 14.0295
_cell_length_c 12.5614
_cell_angle_alpha 90.00
_cell_angle_beta 90.00
_cell_angle_gamma 90.00
_symmetry_space_group_name_H-M 'P b c a'
_symmetry_Int_Tables_number 61
_symmetry_space_group_name_Hall '-P 2ac 2ab'
loop_
_atom_site_label
_atom_site_type_symbol
_atom_site_fract_x
_atom_site_fract_y
_atom_site_fract_z
Ca1 Ca 0.1472 0.1922 0.0632
H1 H 0.0805 0.1099 0.6830
H2 H 0.1642 0.0188 0.3246
S1 S 0.1306 0.5637 0.6439
S2 S 0.1579 0.1717 0.3604
O1 O 0.0161 0.6841 0.0743
O2 O 0.0207 0.1080 0.9173
O3 O 0.0771 0.5587 0.7595
O4 O 0.1238 0.1913 0.2487
O5 O 0.1872 0.7295 0.4089
O6 O 0.1952 0.1354 0.6372
O7 O 0.1990 0.0283 0.1082
O8 O 0.2330 0.0685 0.3731
```

Computed properties:
Total DFT energy (no corrections) in eV per cell: -651.84